A plane-wave DFT calculation with GGA-PBE was carried out for Pm2Pr5Ir4 after structural relaxation.

Geometry as CIF:
```
data_Pm2Pr5Ir4
_space_group_name_H-M_alt 'P 1'
_space_group_IT_number 1
_cell_length_a 3.8670
_cell_length_b 7.0969
_cell_length_c 12.5677
_cell_angle_alpha 86.63
_cell_angle_beta 98.85
_cell_angle_gamma 90.00
loop_
_space_group_symop_operation_xyz
'x,y,z'
loop_
_atom_site_label
_atom_site_type_symbol
_atom_site_fract_x
_atom_site_fract_y
_atom_site_fract_z
_atom_site_occupancy
Pm1 Pm 0.9155 0.6409 0.8311 1
Pm2 Pm 0.0845 0.3591 0.1689 1
Pr1 Pr 0.1336 0.8132 0.2671 1
Pr2 Pr 0.8664 0.1868 0.7329 1
Pr3 Pr 0.2299 0.2912 0.4598 1
Pr4 Pr 0.5000 0.0000 0.0000 1
Pr5 Pr 0.7701 0.7088 0.5402 1
Ir1 Ir 0.6677 0.5160 0.3353 1
Ir2 Ir 0.0264 0.7037 0.0528 1
Ir3 Ir 0.3323 0.4840 0.6647 1
Ir4 Ir 0.9736 0.2963 0.9472 1
```

Properties
The raw total energy is -6.544 eV per atom.